This record from the Alexandria database describes ZnPd3 after structural relaxation. The functional is PBEsol.

Geometry as POSCAR:
```
ZnPd3
1.0
-1.241 -3.629 0.150
2.463 -0.958 -2.784
2.669 -0.804 2.638
Zn Pd
1 3
direct
0.000 0.000 0.000
0.500 0.500 0.000
0.500 0.000 0.500
0.000 0.500 0.500
```

Calculated values
magnetic moment: 0.0 μB per formula unit
E: -20.7 eV per formula unit